# 1
## NdSmAuSe (PBE)

Data for a relaxed NdSmAuSe crystal.

Summary:
Symmetry: P4/mmm
Uncorrected formation energy: -1.2418 eV per atom
Crystal system: tetragonal

Cell lengths 4.239, 4.239, 6.127 Å; angles 90.00, 90.00, 90.00 degrees
Positions (direct):
Sm: 0.000 0.000 0.500
Nd: 0.500 0.500 0.000
Au: 0.000 0.000 0.000
Se: 0.500 0.500 0.500

# 2
## NdSnAuSe (PBE)

Data for a relaxed NdSnAuSe crystal.

Summary:
Symmetry: R-3m
Uncorrected formation energy: -0.9385 eV per atom
Crystal system: trigonal

Cell lengths 4.694, 4.694, 12.009 Å; angles 78.73, 78.73, 60.00 degrees
Positions (direct):
Se: 0.803 0.803 0.591
Sn: 0.298 0.298 0.106
Sn: 0.702 0.702 0.894
Se: 0.197 0.197 0.409
Au: 0.618 0.618 0.145
Au: 0.382 0.382 0.855
Nd: 0.892 0.892 0.324
Nd: 0.108 0.108 0.676

# 3
## Nd2TlAuSe4 (PBE)

Data for a relaxed Nd2TlAuSe4 crystal.

Summary:
Symmetry: Cmcm
Uncorrected formation energy: -1.2622 eV per atom
Crystal system: orthorhombic

Cell lengths 4.266, 7.509, 14.985 Å; angles 90.00, 90.00, 106.50 degrees
Positions (direct):
Se: 0.268 0.535 0.392
Se: 0.732 0.465 0.608
Tl: 0.125 0.251 0.750
Au: 0.155 0.309 0.250
Au: 0.845 0.691 0.750
Nd: 0.369 0.737 0.930
Nd: 0.631 0.263 0.430
Se: 0.453 0.906 0.750
Nd: 0.369 0.737 0.570
Se: 0.732 0.465 0.892
Se: 0.268 0.535 0.108
Se: 0.000 0.000 0.500
Tl: 0.875 0.749 0.250
Nd: 0.631 0.263 0.070
Se: 0.547 0.094 0.250
Se: 0.000 0.000 0.000

# 4
## Nd2Si2Au (PBE)

Data for a relaxed Nd2Si2Au crystal.

Summary:
Symmetry: Amm2
Uncorrected formation energy: -0.6203 eV per atom
Crystal system: orthorhombic
Energy above the lowest structure with this stoichiometry: 142.4 meV/atom

Cell lengths 4.059, 4.265, 6.902 Å; angles 108.00, 90.00, 90.00 degrees
Positions (direct):
Si: 0.500 0.504 0.008
Au: 0.500 0.110 0.219
Nd: 0.000 0.927 0.854
Nd: 0.000 0.687 0.375
Si: 0.500 0.314 0.628

In eV/atom, the E values for the records above are, in order, -5.30, -4.82, -4.90, -5.35.